First-principles (PBEsol) data for an optimized crystal structure of CaPrAg2O6, as listed in Alexandria via LeMat-Bulk.

```
data_CaPrAg2O6
_chemical_formula_sum 'Ca2 Pr2 Ag4 O12'
_cell_length_a 7.804
_cell_length_b 5.836
_cell_length_c 5.531
_cell_angle_alpha 90.00
_cell_angle_beta 90.00
_cell_angle_gamma 90.00
_symmetry_space_group_name_H-M 'P 1'
_symmetry_Int_Tables_number 1
loop_
_symmetry_equiv_pos_as_xyz
'x,y,z'
loop_
_atom_site_label
_atom_site_type_symbol
_atom_site_fract_x
_atom_site_fract_y
_atom_site_fract_z
Ca1 Ca 0.000 0.182 0.000
Ca2 Ca 0.500 0.818 0.500
Pr1 Pr 0.000 0.684 0.461
Pr2 Pr 0.500 0.316 0.961
Ag1 Ag 0.249 0.247 0.481
Ag2 Ag 0.251 0.753 0.981
Ag3 Ag 0.749 0.753 0.981
Ag4 Ag 0.751 0.247 0.481
O1 O 0.000 0.289 0.592
O2 O 0.000 0.793 0.875
O3 O 0.195 0.450 0.180
O4 O 0.197 0.950 0.282
O5 O 0.303 0.050 0.782
O6 O 0.305 0.550 0.680
O7 O 0.500 0.207 0.375
O8 O 0.500 0.711 0.092
O9 O 0.695 0.550 0.680
O10 O 0.697 0.050 0.782
O11 O 0.803 0.950 0.282
O12 O 0.805 0.450 0.180
```

## Properties
DOS at the Fermi energy in states/eV/atom: 0.393
Uncorrected formation energy in eV/atom: -1.44

First-principles (PBEsol) data for an optimized crystal structure of CaAgSb2O, as listed in Alexandria via LeMat-Bulk.

```
data_CaAgSb2O
_chemical_formula_sum 'Ca1 Ag1 Sb2 O1'
_cell_length_a 5.663
_cell_length_b 5.663
_cell_length_c 5.260
_cell_angle_alpha 90.00
_cell_angle_beta 90.00
_cell_angle_gamma 90.00
_symmetry_space_group_name_H-M 'P 1'
_symmetry_Int_Tables_number 1
loop_
_symmetry_equiv_pos_as_xyz
'x,y,z'
loop_
_atom_site_label
_atom_site_type_symbol
_atom_site_fract_x
_atom_site_fract_y
_atom_site_fract_z
Ca1 Ca 0.000 0.000 0.000
Ag1 Ag 0.000 0.000 0.500
Sb1 Sb 0.000 0.500 0.000
Sb2 Sb 0.500 0.000 0.000
O1 O 0.500 0.500 0.500
```

## Properties
DOS at the Fermi energy in states/eV/atom: 1.108
Uncorrected formation energy in eV/atom: 1.29

First-principles (PBEsol) data for an optimized crystal structure of Ca2AgSbO6, as listed in Alexandria via LeMat-Bulk.

```
data_Ca2AgSbO6
_chemical_formula_sum 'Ca4 Ag2 Sb2 O12'
_cell_length_a 5.711
_cell_length_b 7.569
_cell_length_c 6.059
_cell_angle_alpha 90.00
_cell_angle_beta 103.53
_cell_angle_gamma 90.00
_symmetry_space_group_name_H-M 'P 1'
_symmetry_Int_Tables_number 1
loop_
_symmetry_equiv_pos_as_xyz
'x,y,z'
loop_
_atom_site_label
_atom_site_type_symbol
_atom_site_fract_x
_atom_site_fract_y
_atom_site_fract_z
Ca1 Ca 0.032 0.250 0.079
Ca2 Ca 0.451 0.750 0.455
Ca3 Ca 0.549 0.250 0.545
Ca4 Ca 0.968 0.750 0.921
Ag1 Ag 0.000 0.000 0.500
Ag2 Ag 0.000 0.500 0.500
Sb1 Sb 0.500 0.000 0.000
Sb2 Sb 0.500 0.500 0.000
O1 O 0.097 0.750 0.573
O2 O 0.153 0.041 0.830
O3 O 0.153 0.459 0.830
O4 O 0.378 0.055 0.268
O5 O 0.378 0.445 0.268
O6 O 0.404 0.750 0.060
O7 O 0.596 0.250 0.940
O8 O 0.622 0.555 0.732
O9 O 0.622 0.945 0.732
O10 O 0.847 0.541 0.170
O11 O 0.847 0.959 0.170
O12 O 0.903 0.250 0.427
```

## Properties
Uncorrected formation energy in eV/atom: -1.82